# 1
VASP calculation (meta-GGA SCAN) on a crystal of SbTe2PdN relaxed with PBEsol.

```
SbTe2PdN
1.0
5.679 0.000 0.000
0.000 5.679 0.000
0.000 0.000 3.775
Sb Te Pd N
1 2 1 1
direct
0.000 0.000 0.000
0.000 0.500 0.000
0.500 0.000 0.000
0.500 0.500 0.500
0.000 0.000 0.500
```

- Final energy: -148.53 eV per cell
- DOS(E_F): 0.565 states/eV/atom
- Formation energy without anion corrections: 1059 meV/atom
- Total magnetization: 0.000 μB/f.u.

---

# 2
VASP calculation (meta-GGA SCAN) on a crystal of CsUNbO6 relaxed with PBEsol.

```
CsUNbO6
1.0
7.527 0.000 0.000
0.000 8.693 0.000
-2.453 0.000 10.350
Cs U Nb O
4 4 4 24
direct
0.035 0.224 0.351
0.035 0.276 0.851
0.965 0.724 0.149
0.965 0.776 0.649
0.488 0.018 0.178
0.488 0.482 0.678
0.512 0.518 0.322
0.512 0.982 0.822
0.385 0.650 0.944
0.385 0.850 0.444
0.615 0.150 0.556
0.615 0.350 0.056
0.146 0.633 0.930
0.146 0.867 0.430
0.244 0.060 0.130
0.244 0.440 0.630
0.268 0.022 0.771
0.268 0.478 0.271
0.428 0.713 0.778
0.428 0.787 0.278
0.464 0.645 0.505
0.464 0.855 0.005
0.467 0.060 0.388
0.467 0.440 0.888
0.533 0.560 0.112
0.533 0.940 0.612
0.536 0.145 0.995
0.536 0.355 0.495
0.572 0.213 0.722
0.572 0.287 0.222
0.732 0.522 0.729
0.732 0.978 0.229
0.756 0.560 0.370
0.756 0.940 0.870
0.854 0.133 0.570
0.854 0.367 0.070
```

- Final energy: -953.53 eV per cell
- DOS(E_F): 0.000 states/eV/atom
- Formation energy without anion corrections: -2948 meV/atom
- Total magnetization: 0.000 μB/f.u.

---

# 3
VASP calculation (meta-GGA SCAN) on a crystal of NiPd3 relaxed with PBEsol.

```
NiPd3
1.0
5.347 0.000 0.000
-2.674 4.631 0.000
0.000 0.000 4.416
Ni Pd
2 6
direct
0.333 0.667 0.250
0.667 0.333 0.750
0.169 0.338 0.750
0.169 0.831 0.750
0.338 0.169 0.250
0.662 0.831 0.750
0.831 0.169 0.250
0.831 0.662 0.250
```

- Final energy: -228.74 eV per cell
- DOS(E_F): 1.090 states/eV/atom
- Total magnetization: 2.095 μB/f.u.

---

# 4
VASP calculation (meta-GGA SCAN) on a crystal of Li5Ni7O12 relaxed with PBEsol.

```
Li5Ni7O12
1.0
2.508 -4.247 0.000
2.508 4.247 0.000
-1.513 0.000 9.323
Li Ni O
5 7 12
direct
0.000 0.000 0.000
0.250 0.265 0.755
0.423 0.087 0.244
0.735 0.750 0.245
0.913 0.577 0.756
0.079 0.412 0.247
0.158 0.842 0.500
0.342 0.658 0.000
0.489 0.511 0.500
0.588 0.921 0.753
0.673 0.327 0.000
0.820 0.180 0.500
0.045 0.664 0.111
0.113 0.164 0.389
0.235 0.586 0.631
0.336 0.955 0.889
0.392 0.387 0.113
0.414 0.765 0.369
0.535 0.213 0.610
0.613 0.608 0.887
0.732 0.072 0.130
0.787 0.465 0.390
0.836 0.887 0.611
0.928 0.268 0.870
```

- Final energy: -237.33 eV per cell
- DOS(E_F): 0.357 states/eV/atom
- Formation energy without anion corrections: -1558 meV/atom
- Total magnetization: 1.986 μB/f.u.

---

# 5
VASP calculation (meta-GGA SCAN) on a crystal of Cs2ZnReBr relaxed with PBEsol.

```
Cs2ZnReBr
1.0
6.628 0.000 0.000
0.000 6.628 0.000
0.000 0.000 4.869
Cs Zn Re Br
2 1 1 1
direct
0.000 0.500 0.000
0.500 0.000 0.000
0.000 0.000 0.000
0.000 0.000 0.500
0.500 0.500 0.500
```

- Final energy: -177.36 eV per cell
- DOS(E_F): 0.400 states/eV/atom
- Formation energy without anion corrections: 466 meV/atom
- Total magnetization: 3.329 μB/f.u.

---

# 6
VASP calculation (meta-GGA SCAN) on a crystal of MgZn2Si relaxed with PBEsol.

```
MgZn2Si
1.0
2.890 0.000 0.000
0.000 3.854 0.000
0.000 0.000 5.693
Mg Zn Si
1 2 1
direct
0.000 0.000 0.000
0.000 0.000 0.503
0.500 0.500 0.726
0.500 0.500 0.263
```

- Final energy: -41.51 eV per cell
- Energy relative to the lowest polymorph listed for this composition: 0.000 eV/atom
- DOS(E_F): 0.327 states/eV/atom
- Formation energy without anion corrections: 129 meV/atom
- Total magnetization: 0.000 μB/f.u.

---

# 7
VASP calculation (meta-GGA SCAN) on a crystal of Tl2InTcF relaxed with PBEsol.

```
Tl2InTcF
1.0
5.712 0.000 0.000
0.000 5.712 0.000
0.000 0.000 5.178
Tl In Tc F
2 1 1 1
direct
0.000 0.500 0.000
0.500 0.000 0.000
0.000 0.000 0.000
0.000 0.000 0.500
0.500 0.500 0.500
```

- Final energy: -213.30 eV per cell
- DOS(E_F): 0.773 states/eV/atom
- Formation energy without anion corrections: 680 meV/atom
- Total magnetization: 3.888 μB/f.u.

---

# 8
VASP calculation (meta-GGA SCAN) on a crystal of Ca5P4 relaxed with PBEsol.

```
Ca5P4
1.0
8.475 0.000 0.000
-4.238 7.340 0.000
0.000 0.000 6.580
Ca P
10 8
direct
0.000 0.258 0.250
0.000 0.742 0.750
0.258 0.000 0.250
0.258 0.258 0.750
0.333 0.667 0.000
0.333 0.667 0.500
0.667 0.333 0.000
0.667 0.333 0.500
0.742 0.000 0.750
0.742 0.742 0.250
0.000 0.000 0.000
0.000 0.000 0.500
0.000 0.405 0.750
0.000 0.595 0.250
0.405 0.000 0.750
0.405 0.405 0.250
0.595 0.000 0.250
0.595 0.595 0.750
```

- Final energy: -199.33 eV per cell
- DOS(E_F): 0.644 states/eV/atom
- Total magnetization: 0.000 μB/f.u.

---

# 9
VASP calculation (meta-GGA SCAN) on a crystal of CuP2IrO relaxed with PBEsol.

```
CuP2IrO
1.0
4.533 0.000 0.000
0.000 4.533 0.000
0.000 0.000 3.326
Cu P Ir O
1 2 1 1
direct
0.000 0.000 0.000
0.000 0.500 0.000
0.500 0.000 0.000
0.500 0.500 0.500
0.000 0.000 0.500
```

- Final energy: -109.51 eV per cell
- DOS(E_F): 0.714 states/eV/atom
- Formation energy without anion corrections: 762 meV/atom
- Total magnetization: 0.000 μB/f.u.

---

# 10
VASP calculation (meta-GGA SCAN) on a crystal of Ba2NiPdW relaxed with PBEsol.

```
Ba2NiPdW
1.0
5.899 0.000 0.000
0.000 5.899 0.000
0.000 0.000 4.595
Ba Ni Pd W
2 1 1 1
direct
0.000 0.500 0.000
0.500 0.000 0.000
0.000 0.000 0.500
0.000 0.000 0.000
0.500 0.500 0.500
```

- Final energy: -191.79 eV per cell
- DOS(E_F): 0.469 states/eV/atom
- Total magnetization: 5.387 μB/f.u.

---

# 11
VASP calculation (meta-GGA SCAN) on a crystal of Li2AlAg relaxed with PBEsol.

```
Li2AlAg
1.0
2.667 -4.459 0.000
2.667 4.459 0.000
-0.843 0.000 2.615
Li Al Ag
2 1 1
direct
0.000 0.500 0.000
0.500 0.000 0.000
0.000 0.000 0.500
0.500 0.500 0.500
```

- Final energy: -44.55 eV per cell
- DOS(E_F): 0.301 states/eV/atom
- Total magnetization: 0.000 μB/f.u.

---

# 12
VASP calculation (meta-GGA SCAN) on a crystal of Zn3Au relaxed with PBEsol.

```
Zn3Au
1.0
4.423 0.000 0.000
0.000 5.490 0.000
0.000 0.000 4.788
Zn Au
6 2
direct
0.250 0.003 0.167
0.250 0.497 0.167
0.250 0.750 0.662
0.750 0.250 0.338
0.750 0.503 0.833
0.750 0.997 0.833
0.250 0.250 0.672
0.750 0.750 0.328
```

- Final energy: -220.99 eV per cell
- DOS(E_F): 0.172 states/eV/atom
- Total magnetization: 0.000 μB/f.u.

---

# 13
VASP calculation (meta-GGA SCAN) on a crystal of GaSiSe2 relaxed with PBEsol.

```
GaSiSe2
1.0
1.727 0.997 8.727
-1.727 0.997 8.727
0.000 -1.994 8.727
Ga Si Se
1 1 2
direct
0.000 0.000 0.000
0.500 0.500 0.500
0.112 0.112 0.112
0.888 0.888 0.888
```

- Final energy: -66.91 eV per cell
- DOS(E_F): 0.217 states/eV/atom
- Formation energy without anion corrections: -97 meV/atom
- Total magnetization: 0.000 μB/f.u.

---

# 14
VASP calculation (meta-GGA SCAN) on a crystal of Ta2Be2W relaxed with PBEsol.

```
Ta2Be2W
1.0
6.344 0.000 0.000
0.000 6.344 0.000
0.000 0.000 3.293
Ta Be W
4 4 2
direct
0.180 0.320 0.000
0.320 0.820 0.000
0.680 0.180 0.000
0.820 0.680 0.000
0.116 0.616 0.500
0.384 0.116 0.500
0.616 0.884 0.500
0.884 0.384 0.500
0.000 0.000 0.500
0.500 0.500 0.500
```

- Final energy: -425.36 eV per cell
- DOS(E_F): 0.438 states/eV/atom
- Total magnetization: 0.000 μB/f.u.

---

# 15
VASP calculation (meta-GGA SCAN) on a crystal of LiTl5 relaxed with PBEsol.

```
LiTl5
1.0
5.954 0.000 0.000
-2.977 5.156 0.000
0.000 0.000 5.222
Li Tl
1 5
direct
0.000 0.000 0.000
0.000 0.318 0.500
0.318 0.000 0.500
0.333 0.667 0.000
0.667 0.333 0.000
0.682 0.682 0.500
```

- Final energy: -364.59 eV per cell
- Energy relative to the lowest polymorph listed for this composition: 0.014 eV/atom
- DOS(E_F): 0.361 states/eV/atom
- Total magnetization: 0.000 μB/f.u.

---

# 16
VASP calculation (meta-GGA SCAN) on a crystal of Ba3V2S4O3 relaxed with PBEsol.

```
Ba3V2S4O3
1.0
10.108 0.000 0.000
-5.054 8.754 0.000
0.000 0.000 5.878
Ba V S O
6 4 8 6
direct
0.068 0.691 0.000
0.309 0.377 0.000
0.377 0.068 0.500
0.623 0.932 0.000
0.691 0.623 0.500
0.932 0.309 0.500
0.000 0.000 0.233
0.000 0.000 0.733
0.333 0.667 0.356
0.667 0.333 0.856
0.036 0.829 0.483
0.171 0.207 0.483
0.207 0.036 0.983
0.333 0.667 0.730
0.667 0.333 0.230
0.793 0.964 0.483
0.829 0.793 0.983
0.964 0.171 0.983
0.162 0.529 0.253
0.367 0.838 0.253
0.471 0.633 0.253
0.529 0.367 0.753
0.633 0.162 0.753
0.838 0.471 0.753
```

- Final energy: -478.77 eV per cell
- DOS(E_F): 0.284 states/eV/atom
- Formation energy without anion corrections: -2379 meV/atom
- Total magnetization: 2.000 μB/f.u.

---

# 17
VASP calculation (meta-GGA SCAN) on a crystal of SrFe2Hg relaxed with PBEsol.

```
SrFe2Hg
1.0
3.559 0.000 0.000
0.000 3.559 0.000
0.000 0.000 6.569
Sr Fe Hg
1 2 1
direct
0.000 0.000 0.000
0.500 0.500 0.337
0.500 0.500 0.663
0.000 0.000 0.500
```

- Final energy: -124.79 eV per cell
- DOS(E_F): 0.971 states/eV/atom
- Total magnetization: 5.608 μB/f.u.

---

# 18
VASP calculation (meta-GGA SCAN) on a crystal of KFeW relaxed with PBEsol.

```
KFeW
1.0
0.000 3.032 3.032
3.032 0.000 3.032
3.032 3.032 0.000
K Fe W
1 1 1
direct
0.000 0.000 0.000
0.500 0.500 0.500
0.750 0.750 0.750
```

- Final energy: -88.67 eV per cell
- DOS(E_F): 1.153 states/eV/atom
- Total magnetization: 1.462 μB/f.u.

---

# 19
VASP calculation (meta-GGA SCAN) on a crystal of CsSr3I relaxed with PBEsol.

```
CsSr3I
1.0
7.809 0.000 0.000
0.000 7.809 0.000
0.000 0.000 7.809
Cs Sr I
1 3 1
direct
0.000 0.000 0.000
0.000 0.000 0.500
0.000 0.500 0.000
0.500 0.000 0.000
0.500 0.500 0.500
```

- Final energy: -138.11 eV per cell
- DOS(E_F): 0.989 states/eV/atom
- Formation energy without anion corrections: 654 meV/atom
- Total magnetization: 0.000 μB/f.u.

---

# 20
VASP calculation (meta-GGA SCAN) on a crystal of TbSn3 relaxed with PBEsol.

```
TbSn3
1.0
4.350 0.000 0.000
0.000 2.185 10.886
0.000 -2.185 10.886
Tb Sn
2 6
direct
0.000 0.000 0.000
0.500 0.273 0.273
0.000 0.384 0.384
0.000 0.614 0.614
0.000 0.748 0.748
0.500 0.124 0.124
0.500 0.507 0.507
0.500 0.884 0.884
```

- Final energy: -312.38 eV per cell
- DOS(E_F): 0.423 states/eV/atom
- Total magnetization: 0.000 μB/f.u.